{"formula": "MgVOF2", "functional": "PBE+U", "state": "optimized geometry", "lattice": [[3.712, 0.000, 0.000], [0.000, 3.712, 0.000], [0.000, 0.000, 4.252]], "species": ["Mg", "V", "O", "F", "F"], "frac_coords": [[0.000, 0.000, 0.000], [0.500, 0.500, 0.500], [0.000, 0.000, 0.500], [0.000, 0.500, 0.000], [0.500, 0.000, 0.000]], "de_polymorph_ev_per_atom": 0.0000}